Entry 1:
CeTi2CuP4: relaxed, PBE.

## Properties
- VASP energy: -109.634 eV for the cell shown
- Space group: No. 63

abc: 3.7249 6.3240 12.4233
angles: 90.00 90.00 107.13
With the nearest neighbours (Å) after each atom.
Element x y z (fractional)
Ce  0.8746  0.7493  0.2500  6 P 2.78-2.86
Ce  0.1254  0.2507  0.7500  6 P 2.78-2.86
Ti  0.3737  0.7475  0.5601  6 P 2.48-2.60
Ti  0.3737  0.7475  0.9399  6 P 2.48-2.60
Ti  0.6263  0.2525  0.4399  6 P 2.48-2.60
Ti  0.6263  0.2525  0.0601  6 P 2.48-2.60
P  0.2669  0.5337  0.1108  1 Cu 2.26, 1 Ti 2.48
P  0.7331  0.4663  0.6108  1 Cu 2.26, 1 Ti 2.48
P  0.4550  0.9100  0.7500  2 Cu 2.23
P  0.2669  0.5337  0.3892  1 Cu 2.26, 1 Ti 2.48
P  0.5450  0.0900  0.2500  2 Cu 2.23
P  0.0000  0.0000  0.0000  4 Ti 2.52
P  0.7331  0.4663  0.8892  1 Cu 2.26, 1 Ti 2.48
P  0.0000  0.0000  0.5000  4 Ti 2.52
Cu  0.8539  0.7079  0.7500  4 P 2.23-2.26
Cu  0.1461  0.2921  0.2500  4 P 2.23-2.26

Entry 2:
AlCr2Ru: relaxed, PBE.

## Properties
- VASP energy: -32.863 eV for the cell shown
- Space group: No. 44

abc: 4.8351 4.8351 4.2656
angles: 63.84 63.84 35.77
With the nearest neighbours (Å) after each atom.
Element x y z (fractional)
Ru  0.4917  0.4917  0.5082  6 Cr 2.55-2.61, 2 Al 2.60
Cr  0.7370  0.7370  0.7631  2 Cr 2.32, 2 Ru 2.55
Cr  0.0181  0.0181  0.9818  2 Cr 2.32
Al  0.2532  0.2532  0.2469  4 Ru 2.60-2.89, 8 Cr 2.60-2.87

Entry 3:
Ca4Cd3Pt: relaxed, PBE.

## Properties
- VASP energy: -20.691 eV for the cell shown
- Space group: No. 123

abc: 3.7129 3.7129 15.2379
angles: 90.00 90.00 90.00
With the nearest neighbours (Å) after each atom.
Element x y z (fractional)
Ca  0.0000  0.0000  0.6310  8 Cd 3.29-3.30
Ca  0.0000  0.0000  0.1058  4 Pt 3.08, 1 Ca 3.22, 4 Cd 3.31
Ca  0.0000  0.0000  0.8942  4 Pt 3.08, 1 Ca 3.22, 4 Cd 3.31
Ca  0.0000  0.0000  0.3690  8 Cd 3.29-3.30
Cd  0.5000  0.5000  0.5000  8 Ca 3.30
Cd  0.5000  0.5000  0.7614  8 Ca 3.29-3.31, 1 Pt 3.64
Cd  0.5000  0.5000  0.2386  8 Ca 3.29-3.31, 1 Pt 3.64
Pt  0.5000  0.5000  0.0000  8 Ca 3.08

Entry 4:
LaHoGaRu: relaxed, PBE.

## Properties
- VASP energy: -23.671 eV for the cell shown
- Space group: No. 38

abc: 4.6052 3.8865 5.8076
angles: 90.00 113.36 90.00
With the nearest neighbours (Å) after each atom.
Element x y z (fractional)
Ru  0.6012  0.5000  0.2023  1 La 2.47, 2 Ga 2.62
Ho  0.1299  0.0000  0.2598  4 Ru 3.03, 3 Ga 3.10-3.26
La  0.8331  0.5000  0.6662  1 Ru 2.47
Ga  0.4358  0.0000  0.8716  2 Ru 2.62

no.,spin magnetization (μB per cell)
1,0.22
2,0.07
3,0.00
4,0.00